1.
Compound: Cs3NaF4
Source: the Alexandria database
Functional: PBE
Structure: relaxed

abc: 8.415 10.443 9.064
angles: 90.00 90.00 90.00
Element x y z (fractional)
Cs1 0.015 0.036 0.239
Cs2 0.015 0.464 0.239
Cs3 0.213 0.750 0.446
Cs4 0.287 0.250 0.946
Cs5 0.485 0.536 0.739
Cs6 0.485 0.964 0.739
Cs7 0.515 0.036 0.261
Cs8 0.515 0.464 0.261
Cs9 0.713 0.750 0.054
Cs10 0.787 0.250 0.554
Cs11 0.985 0.536 0.761
Cs12 0.985 0.964 0.761
Na1 0.225 0.750 0.013
Na2 0.275 0.250 0.513
Na3 0.725 0.750 0.487
Na4 0.775 0.250 0.987
F1 0.022 0.750 0.173
F2 0.218 0.036 0.520
F3 0.218 0.464 0.520
F4 0.227 0.750 0.765
F5 0.273 0.250 0.265
F6 0.282 0.536 0.020
F7 0.282 0.964 0.020
F8 0.478 0.250 0.673
F9 0.522 0.750 0.327
F10 0.718 0.036 0.980
F11 0.718 0.464 0.980
F12 0.727 0.750 0.735
F13 0.773 0.250 0.235
F14 0.782 0.536 0.480
F15 0.782 0.964 0.480
F16 0.978 0.250 0.827



2.
Compound: Cs2Na4F
Source: the Alexandria database
Functional: PBE
Structure: relaxed

abc: 14.360 14.360 14.360
angles: 159.76 159.76 28.78
Element x y z (fractional)
Cs1 0.175 0.175 0.000
Cs2 0.825 0.825 0.000
Na1 0.000 0.500 0.500
Na2 0.417 0.417 0.000
Na3 0.500 0.000 0.500
Na4 0.583 0.583 0.000
F1 0.500 0.500 0.000



3.
Compound: CsNaF
Source: the Alexandria database
Functional: PBE
Structure: relaxed

abc: 6.207 6.814 7.342
angles: 112.70 91.00 114.25
Element x y z (fractional)
Cs1 0.000 0.000 0.000
Cs2 0.315 0.404 0.649
Na1 0.598 0.895 0.411
Na2 0.893 0.544 0.366
F1 0.734 0.746 0.587
F2 0.869 0.214 0.381



4.
Compound: CsNaF
Source: the Alexandria database
Functional: PBE
Structure: relaxed

abc: 4.020 4.020 7.155
angles: 90.00 90.00 90.00
Element x y z (fractional)
Cs1 0.000 0.000 0.000
Na1 0.500 0.500 0.434
F1 0.500 0.500 0.125



5.
Compound: CsNa2F6
Source: the Alexandria database
Functional: PBE
Structure: relaxed

abc: 7.125 7.125 7.125
angles: 150.04 121.45 67.16
Element x y z (fractional)
Cs1 0.000 0.000 0.000
Na1 0.321 0.821 0.500
Na2 0.679 0.179 0.500
F1 0.117 0.336 0.781
F2 0.311 0.500 0.811
F3 0.445 0.664 0.781
F4 0.555 0.336 0.219
F5 0.689 0.500 0.189
F6 0.883 0.664 0.219



6.
Compound: Cs3Na2F4
Source: the Alexandria database
Functional: PBE
Structure: relaxed

abc: 8.020 8.020 9.760
angles: 123.31 123.31 33.00
Element x y z (fractional)
Cs1 0.000 0.000 0.000
Cs2 0.328 0.328 0.218
Cs3 0.672 0.672 0.782
Na1 0.294 0.294 0.640
Na2 0.706 0.706 0.360
F1 0.203 0.203 0.359
F2 0.330 0.330 0.908
F3 0.670 0.670 0.092
F4 0.797 0.797 0.641



Formation energy without anion corrections in meV per atom, matching the order above: -2614; -642; -1669; -1691; -1744; -2291